A plane-wave DFT calculation with PBE was carried out for a relaxed LaCo2Rh crystal.

Cell and atoms, written as POSCAR:
```
LaCo2Rh
1.0
4.0264 0.0000 0.0000
0.0000 4.3129 -0.3204
0.0000 1.5025 4.2203
Rh Co La
1 2 1
Direct
0.5000 0.7336 0.8919
0.5000 0.1780 0.1560
0.0000 0.0445 0.9749
0.0000 0.5439 0.4772
```

Values from the calculation:
Energy of formation from the pure elements   1.38 kcal/mol of atoms
E   -26.3 eV per cell
D(E_F)   4.3 states/eV per cell